# GaNi9W2, optimized geometry, DFT PBE-GGA
data_GaNi9W2
_cell_length_a 3.6210
_cell_length_b 3.6210
_cell_length_c 10.8679
_cell_angle_alpha 90.00
_cell_angle_beta 90.00
_cell_angle_gamma 90.00
_space_group_name_H-M_alt 'P 4/m m m'
_space_group_IT_number 123
_space_group_name_Hall '-P 4 2'
loop_
_atom_site_label
_atom_site_fract_x
_atom_site_fract_y
_atom_site_fract_z
Ga1 0.0000 0.0000 0.0000
Ni1 0.0000 0.5000 0.1668
Ni2 0.0000 0.5000 0.5000
Ni3 0.5000 0.5000 0.0000
Ni4 0.5000 0.5000 0.3338
W1 0.0000 0.0000 0.3281
# formation enthalpy at 0 K	-1.09	eV/f.u.
# uncorrected energy	-82.1	eV/f.u.

=====

# Ga3Ni12W, optimized geometry, DFT PBE-GGA
data_Ga3Ni12W
_cell_length_a 3.6032
_cell_length_b 3.6032
_cell_length_c 14.3078
_cell_angle_alpha 90.00
_cell_angle_beta 90.00
_cell_angle_gamma 90.00
_space_group_name_H-M_alt 'P 4/m m m'
_space_group_IT_number 123
_space_group_name_Hall '-P 4 2'
loop_
_atom_site_label
_atom_site_fract_x
_atom_site_fract_y
_atom_site_fract_z
Ga1 0.0000 0.0000 0.0000
Ga2 0.0000 0.0000 0.2443
Ni1 0.0000 0.5000 0.1240
Ni2 0.0000 0.5000 0.3757
Ni3 0.5000 0.5000 0.0000
Ni4 0.5000 0.5000 0.2501
Ni5 0.5000 0.5000 0.5000
W1 0.0000 0.0000 0.5000
# formation enthalpy at 0 K	-4.21	eV/f.u.
# uncorrected energy	-95.6	eV/f.u.

=====

# GaNi2W, optimized geometry, DFT PBE-GGA
data_GaNi2W
_cell_length_a 3.6683
_cell_length_b 3.6683
_cell_length_c 16.8650
_cell_angle_alpha 90.00
_cell_angle_beta 90.00
_cell_angle_gamma 90.00
_space_group_name_H-M_alt 'I -4 2 d'
_space_group_IT_number 122
_space_group_name_Hall 'I -4 2bw'
loop_
_atom_site_label
_atom_site_fract_x
_atom_site_fract_y
_atom_site_fract_z
Ga1 0.0000 0.0000 0.0000
Ni1 0.2422 0.2500 0.1250
W1 0.0000 0.0000 0.5000
# formation enthalpy at 0 K	1.49	eV/f.u.
# uncorrected energy	-26.1	eV/f.u.